First-principles (PBE) data for an optimized crystal structure of MnAs, as listed in Alexandria.

Properties
Formation energy, kcal/mol of atoms: 10.51
Total moment, μB per cell: 11.20

Cell lengths 4.5286, 4.5286, 7.2853 Å; angles 90.00, 90.00, 120.00 degrees
Space group P6_3/mmc (No. 194)
Asymmetric unit:
Mn 0.3333 0.6667 0.0794
As 0.0000 0.0000 0.2500
As 0.3333 0.6667 0.7500